Record 1
DFT (GGA-PBE) results for a relaxed structure of RbTb2Cl8.

a b c (Å): 5.257 8.052 8.052
angles (deg): 116.69 90.00 90.00
Fractional coordinates of all 11 atoms:
Cl: 0.000 0.330 0.055
Cl: 0.000 0.055 0.330
Cl: 0.500 0.737 0.263
Cl: 0.251 0.500 0.500
Cl: 0.749 0.500 0.500
Cl: 0.000 0.945 0.670
Cl: 0.500 0.263 0.737
Cl: 0.000 0.670 0.945
Tb: 0.000 0.696 0.304
Tb: 0.000 0.304 0.696
Rb: 0.500 0.000 0.000

As for the formation energy from raw total energies: -2007 meV/atom. The value obtained for the excess energy over the best structure of this formula in the dataset is 0.0 kJ/mol of atoms.

***

Record 2
DFT (GGA-PBE) results for a relaxed structure of AgP2SeCl.

a b c (Å): 4.906 4.906 4.750
angles (deg): 90.00 90.00 90.00
Site moments in Bohr magnetons follow the coordinates.
Fractional coordinates of all 5 atoms:
Se: 0.500 0.500 0.500  -0.16
P: 0.000 0.500 0.000  0.18
P: 0.500 0.000 0.000  0.18
Cl: 0.000 0.000 0.500  0.01
Ag: 0.000 0.000 0.000  0.02

As for the formation energy from raw total energies: 964 meV/atom. The value obtained for the excess energy over the best structure of this formula in the dataset is 3.7 kJ/mol of atoms.

***

Record 3
DFT (GGA-PBE) results for a relaxed structure of Cu2AsRhO6.

a b c (Å): 5.411 7.040 7.040
angles (deg): 78.81 71.64 71.64
Site moments in Bohr magnetons follow the coordinates.
Fractional coordinates of all 20 atoms:
Cu: 0.167 0.367 0.233  0.46
Cu: 0.667 0.233 0.367  0.46
Cu: 0.833 0.633 0.767  0.46
Cu: 0.333 0.767 0.633  0.46
O: 0.776 0.475 0.260  0.16
O: 0.276 0.260 0.475  0.16
O: 0.665 0.814 0.986  0.05
O: 0.224 0.525 0.740  0.16
O: 0.835 0.014 0.186  0.05
O: 0.165 0.986 0.814  0.05
O: 0.373 0.849 0.340  0.11
O: 0.127 0.660 0.151  0.11
O: 0.873 0.340 0.849  0.11
O: 0.335 0.186 0.014  0.05
O: 0.724 0.740 0.525  0.16
O: 0.627 0.151 0.660  0.11
Rh: 0.750 0.093 0.907  0.32
Rh: 0.250 0.907 0.093  0.32
As: 0.250 0.262 0.738  -0.01
As: 0.750 0.738 0.262  -0.01

As for the formation energy from raw total energies: -719 meV/atom.

***

Record 4
DFT (GGA-PBE) results for a relaxed structure of LiPr2DySe4.

a b c (Å): 4.151 7.214 7.168
angles (deg): 70.67 90.00 90.00
Fractional coordinates of all 8 atoms:
Pr: 0.000 0.000 0.000
Pr: 0.500 0.000 0.500
Se: 0.000 0.731 0.759
Se: 0.500 0.731 0.251
Se: 0.500 0.269 0.749
Se: 0.000 0.269 0.241
Li: 0.500 0.500 0.000
Dy: 0.000 0.500 0.500

As for the formation energy from raw total energies: -1756 meV/atom.

***

Record 5
DFT (GGA-PBE) results for a relaxed structure of KCaNb.

a b c (Å): 6.027 6.027 6.903
angles (deg): 90.00 90.00 120.00
Site moments in Bohr magnetons follow the coordinates.
Fractional coordinates of all 6 atoms:
Nb: 0.667 0.333 0.750  2.73
Nb: 0.333 0.667 0.250  2.73
K: 0.000 0.000 0.500  0.03
K: 0.000 0.000 0.000  0.03
Ca: 0.667 0.333 0.250  0.12
Ca: 0.333 0.667 0.750  0.12

The value obtained for the excess energy over the best structure of this formula in the dataset is 94.8 kJ/mol of atoms. The value obtained for the formation enthalpy at 0 K is 1263.4 meV per atom.

***

Record 6
DFT (GGA-PBE) results for a relaxed structure of ScBeHg2.

a b c (Å): 4.485 4.485 6.006
angles (deg): 67.92 67.92 46.61
Fractional coordinates of all 4 atoms:
Hg: 0.753 0.753 0.781
Hg: 0.945 0.945 0.143
Sc: 0.547 0.547 0.476
Be: 0.255 0.255 0.100

The value obtained for the formation enthalpy at 0 K is 27.0 meV per atom.

***

Number 1: DOS at the Fermi energy 0.116 states/eV per atom, E -4.2802 eV per atom, size of the total moment 0.00 μB/cell. Number 2: DOS at the Fermi energy 0.437 states/eV per atom, E -2.8364 eV per atom, size of the total moment 0.54 μB/cell. Number 3: DOS at the Fermi energy 0.790 states/eV per atom, E -5.7136 eV per atom, size of the total moment 3.93 μB/cell. Number 4: DOS at the Fermi energy 0.356 states/eV per atom, E -5.5075 eV per atom, size of the total moment 0.00 μB/cell. Number 5: DOS at the Fermi energy 1.404 states/eV per atom, E -3.1263 eV per atom, size of the total moment 8.46 μB/cell. Number 6: DOS at the Fermi energy 0.419 states/eV per atom, E -2.6383 eV per atom, size of the total moment 0.00 μB/cell.